Record 1
{
  "formula": "Tb3SmSe4",
  "functional": "GGA-PBE",
  "state": "relaxed",
  "lattice": [[-1.933, -3.543, 4.195], [1.899, -4.604, -3.014], [5.152, 0.368, 2.685]],
  "species": ["Tb", "Tb", "Tb", "Sm", "Se", "Se", "Se", "Se"],
  "frac_coords": [[0.000, 0.500, 0.500], [0.500, 0.000, 0.500], [0.500, 0.500, 0.000], [0.000, 0.000, 0.000], [0.500, 0.000, 0.000], [0.000, 0.500, 0.000], [0.000, 0.000, 0.500], [0.500, 0.500, 0.500]],
  "raw_formation_energy_ev_per_atom": -1.771,
  "n_ef_per_ev_atom": 0.63
}

Record 2
{
  "formula": "Tb3SmSe6",
  "functional": "GGA-PBE",
  "state": "relaxed",
  "lattice": [[4.141, 0.000, 0.000], [0.000, 10.996, -3.794], [0.000, 0.007, 11.933]],
  "species": ["Tb", "Tb", "Tb", "Tb", "Tb", "Tb", "Sm", "Sm", "Se", "Se", "Se", "Se", "Se", "Se", "Se", "Se", "Se", "Se", "Se", "Se"],
  "frac_coords": [[0.750, 0.434, 0.832], [0.250, 0.566, 0.168], [0.750, 0.682, 0.502], [0.250, 0.318, 0.498], [0.750, 0.159, 0.084], [0.250, 0.841, 0.916], [0.750, 0.045, 0.693], [0.250, 0.955, 0.307], [0.750, 0.480, 0.615], [0.250, 0.520, 0.385], [0.750, 0.917, 0.098], [0.250, 0.083, 0.902], [0.750, 0.396, 0.062], [0.250, 0.604, 0.938], [0.750, 0.744, 0.276], [0.250, 0.256, 0.724], [0.750, 0.114, 0.465], [0.250, 0.886, 0.535], [0.750, 0.806, 0.750], [0.250, 0.194, 0.250]],
  "raw_formation_energy_ev_per_atom": -1.884
}

Record 3
{
  "formula": "TbSmTeSe",
  "functional": "GGA-PBE",
  "state": "relaxed",
  "lattice": [[-3.489, -0.199, -2.233], [0.176, -1.791, 3.737], [-0.093, 7.020, 3.369]],
  "species": ["Tb", "Sm", "Te", "Se"],
  "frac_coords": [[0.490, 0.143, 0.648], [0.116, 0.956, 0.086], [0.971, 0.384, 0.370], [0.302, 0.549, 0.866]],
  "raw_formation_energy_ev_per_atom": -1.603,
  "n_ef_per_ev_atom": 0.19
}

Record 4
{
  "formula": "TbSmTe2Se",
  "functional": "GGA-PBE",
  "state": "relaxed",
  "lattice": [[4.347, 0.000, 0.000], [0.000, 4.347, 0.000], [0.000, 0.000, 15.653]],
  "species": ["Tb", "Tb", "Sm", "Sm", "Te", "Te", "Te", "Te", "Se", "Se"],
  "frac_coords": [[0.500, 0.000, 0.090], [0.000, 0.500, 0.910], [0.500, 0.000, 0.630], [0.000, 0.500, 0.370], [0.000, 0.500, 0.710], [0.000, 0.500, 0.110], [0.500, 0.000, 0.890], [0.500, 0.000, 0.290], [0.000, 0.000, 0.500], [0.500, 0.500, 0.500]],
  "raw_formation_energy_ev_per_atom": -1.413,
  "n_ef_per_ev_atom": 0.35
}

Record 5
{
  "formula": "Tb2SmTh3Se6",
  "functional": "GGA-PBE",
  "state": "relaxed",
  "lattice": [[-6.474, 2.335, -1.341], [0.845, -6.235, 3.095], [1.647, 4.427, 5.835]],
  "species": ["Tb", "Tb", "Sm", "Th", "Th", "Th", "Se", "Se", "Se", "Se", "Se", "Se"],
  "frac_coords": [[0.333, 0.667, 0.000], [0.667, 0.333, 0.000], [0.000, 0.000, 0.000], [0.164, 0.836, 0.500], [0.836, 0.164, 0.500], [0.500, 0.500, 0.500], [0.920, 0.582, 0.761], [0.740, 0.740, 0.235], [0.080, 0.418, 0.239], [0.582, 0.920, 0.761], [0.260, 0.260, 0.765], [0.418, 0.080, 0.239]],
  "raw_formation_energy_ev_per_atom": -1.652,
  "n_ef_per_ev_atom": 0.66
}

Record 6
{
  "formula": "TbSm3Th2Se6",
  "functional": "GGA-PBE",
  "state": "relaxed",
  "lattice": [[7.208, 0.008, 0.000], [-3.596, 6.247, 0.000], [-1.205, -2.086, 6.834]],
  "species": ["Tb", "Sm", "Sm", "Sm", "Th", "Th", "Se", "Se", "Se", "Se", "Se", "Se"],
  "frac_coords": [[0.000, 0.000, 0.000], [0.168, 0.832, 0.500], [0.832, 0.168, 0.500], [0.500, 0.500, 0.500], [0.333, 0.667, 0.000], [0.667, 0.333, 0.000], [0.916, 0.589, 0.749], [0.757, 0.757, 0.252], [0.084, 0.411, 0.251], [0.589, 0.916, 0.749], [0.243, 0.243, 0.748], [0.411, 0.084, 0.251]],
  "raw_formation_energy_ev_per_atom": -1.703,
  "n_ef_per_ev_atom": 0.57
}